(1)
The following is a DFT calculation (PBE-GGA) of a relaxed structure of Pr4HoTh3.

```
data_Pr4HoTh3
_cell_length_a 5.1078
_cell_length_b 10.2415
_cell_length_c 10.3877
_cell_angle_alpha 90.00
_cell_angle_beta 90.00
_cell_angle_gamma 90.00
_space_group_name_H-M_alt 'P m m n'
_space_group_IT_number 59
loop_
_space_group_symop_operation_xyz
'x,y,z'
'-x,-y,-z'
'-x+1/2,-y+1/2,z'
'x+1/2,y+1/2,-z'
'x+1/2,-y,-z'
'-x+1/2,y,z'
'-x,y+1/2,-z'
'x,-y+1/2,z'
loop_
_atom_site_label
_atom_site_fract_x
_atom_site_fract_y
_atom_site_fract_z
Pr1 0.2500 0.9998 0.1362
Pr2 0.2500 0.2500 0.8607
Pr3 0.2500 0.7500 0.8676
Ho1 0.2500 0.2500 0.3836
Th1 0.2500 0.0022 0.6162
Th2 0.2500 0.7500 0.3829
```

Summary:
DFT total energy (eV per cell): -91.33

=====

(2)
The following is a DFT calculation (PBE-GGA) of a relaxed structure of PrHo4Th5.

```
data_PrHo4Th5
_cell_length_a 22.4407
_cell_length_b 3.5319
_cell_length_c 8.3921
_cell_angle_alpha 90.00
_cell_angle_beta 91.91
_cell_angle_gamma 90.00
_space_group_name_H-M_alt 'C 1 2/m 1'
_space_group_IT_number 12
_space_group_name_Hall '-C 2y'
loop_
_atom_site_label
_atom_site_fract_x
_atom_site_fract_y
_atom_site_fract_z
Pr1 0.0000 0.0000 0.0000
Ho1 0.0932 0.5000 0.7401
Ho2 0.1794 0.0000 0.0100
Th1 0.0000 0.0000 0.5000
Th2 0.1151 0.5000 0.3292
Th3 0.2364 0.5000 0.6640
```

Summary:
DFT total energy (eV per cell): -116.27

=====

(3)
The following is a DFT calculation (PBE-GGA) of a relaxed structure of Pr2Ho2Th.

```
data_Pr2Ho2Th
_cell_length_a 4.6256
_cell_length_b 4.6256
_cell_length_c 16.2946
_cell_angle_alpha 90.00
_cell_angle_beta 90.00
_cell_angle_gamma 90.00
_space_group_name_H-M_alt 'I 4/m m m'
_space_group_IT_number 139
_space_group_name_Hall '-I 4 2'
loop_
_atom_site_label
_atom_site_fract_x
_atom_site_fract_y
_atom_site_fract_z
Pr1 0.0000 0.5000 0.2500
Ho1 0.0000 0.0000 0.0927
Th1 0.0000 0.0000 0.5000
```

Summary:
Distance to the lowest polymorph of the same formula (eV/atom): 0.411

=====

(4)
The following is a DFT calculation (PBE-GGA) of a relaxed structure of PrHo2Th.

```
data_PrHo2Th
_cell_length_a 8.0629
_cell_length_b 8.0629
_cell_length_c 8.0629
_cell_angle_alpha 90.00
_cell_angle_beta 90.00
_cell_angle_gamma 90.00
_space_group_name_H-M_alt 'F m -3 m'
_space_group_IT_number 225
_space_group_name_Hall '-F 4 2 3'
loop_
_atom_site_label
_atom_site_fract_x
_atom_site_fract_y
_atom_site_fract_z
Pr1 0.0000 0.0000 0.0000
Ho1 0.2500 0.2500 0.2500
Th1 0.0000 0.0000 0.5000
```

Summary:
Distance to the lowest polymorph of the same formula (eV/atom): 0.121

=====

For each record above, in turn, the calculated Fermi-level density of states values are 11.9; 15.3; 10.0; 8.5 states/eV/f.u..